# ReAg2HgF8 GGA-PBE optimized geometry
# - energy relative to the elements, uncorrected (eV/atom) = -1.552
# - calculated volume (Å³ per atom) = 17.0
data_ReAg2HgF8
_cell_length_a 4.871
_cell_length_b 7.614
_cell_length_c 5.521
_cell_angle_alpha 90.00
_cell_angle_beta 94.04
_cell_angle_gamma 90.00
_space_group_name_H-M_alt 'P 1 2/m 1'
_space_group_IT_number 10
_space_group_name_Hall '-P 2y'
loop_
_atom_site_label
_atom_site_type_symbol
_atom_site_fract_x
_atom_site_fract_y
_atom_site_fract_z
Re1 Re 0.000 0.000 0.000
Ag1 Ag 0.500 0.247 0.500
Hg1 Hg 0.000 0.500 0.000
F1 F 0.147 0.195 0.808
F2 F 0.324 0.000 0.238
F3 F 0.331 0.500 0.263

# Ag2HgRhF6 GGA-PBE optimized geometry
# - energy relative to the elements, uncorrected (eV/atom) = -1.210
# - calculated volume (Å³ per atom) = 15.7
data_Ag2HgRhF6
_cell_length_a 5.697
_cell_length_b 5.723
_cell_length_c 5.812
_cell_angle_alpha 68.28
_cell_angle_beta 67.99
_cell_angle_gamma 68.02
_space_group_name_H-M_alt 'P -1'
_space_group_IT_number 2
_space_group_name_Hall '-P 1'
loop_
_atom_site_label
_atom_site_type_symbol
_atom_site_fract_x
_atom_site_fract_y
_atom_site_fract_z
Ag1 Ag 0.226 0.222 0.216
Hg1 Hg 0.000 0.000 0.000
Rh1 Rh 0.500 0.500 0.500
F1 F 0.150 0.428 0.675
F2 F 0.322 0.852 0.564
F3 F 0.429 0.663 0.157

# AgHg2RhF8 GGA-PBE optimized geometry
# - energy relative to the elements, uncorrected (eV/atom) = -1.371
# - calculated volume (Å³ per atom) = 15.0
data_AgHg2RhF8
_cell_length_a 4.457
_cell_length_b 7.477
_cell_length_c 5.569
_cell_angle_alpha 90.00
_cell_angle_beta 104.48
_cell_angle_gamma 90.00
_space_group_name_H-M_alt 'P 1 2/m 1'
_space_group_IT_number 10
_space_group_name_Hall '-P 2y'
loop_
_atom_site_label
_atom_site_type_symbol
_atom_site_fract_x
_atom_site_fract_y
_atom_site_fract_z
Ag1 Ag 0.000 0.000 0.000
Hg1 Hg 0.500 0.248 0.500
Rh1 Rh 0.000 0.500 0.000
F1 F 0.038 0.299 0.769
F2 F 0.429 0.500 0.221
F3 F 0.472 0.000 0.740

# Ag2HgRuF8 GGA-PBE optimized geometry
# - energy relative to the elements, uncorrected (eV/atom) = -1.435
# - calculated volume (Å³ per atom) = 16.7
data_Ag2HgRuF8
_cell_length_a 5.050
_cell_length_b 7.437
_cell_length_c 5.336
_cell_angle_alpha 90.00
_cell_angle_beta 92.01
_cell_angle_gamma 90.00
_space_group_name_H-M_alt 'P 1 2/m 1'
_space_group_IT_number 10
_space_group_name_Hall '-P 2y'
loop_
_atom_site_label
_atom_site_type_symbol
_atom_site_fract_x
_atom_site_fract_y
_atom_site_fract_z
Ag1 Ag 0.000 0.244 0.000
Hg1 Hg 0.500 0.500 0.500
Ru1 Ru 0.500 0.000 0.500
F1 F 0.191 0.500 0.225
F2 F 0.201 0.000 0.266
F3 F 0.342 0.197 0.695

# AgHg2RuF GGA-PBE optimized geometry
# - energy relative to the elements, uncorrected (eV/atom) = 0.362
# - calculated volume (Å³ per atom) = 21.1
data_AgHg2RuF
_cell_length_a 5.087
_cell_length_b 5.087
_cell_length_c 4.086
_cell_angle_alpha 90.00
_cell_angle_beta 90.00
_cell_angle_gamma 90.00
_space_group_name_H-M_alt 'P 4/m m m'
_space_group_IT_number 123
_space_group_name_Hall '-P 4 2'
loop_
_atom_site_label
_atom_site_type_symbol
_atom_site_fract_x
_atom_site_fract_y
_atom_site_fract_z
Ag1 Ag 0.000 0.000 0.000
Hg1 Hg 0.000 0.500 0.500
Ru1 Ru 0.500 0.500 0.000
F1 F 0.500 0.500 0.500

# AgHgSbF2 GGA-PBE optimized geometry
# - energy relative to the elements, uncorrected (eV/atom) = -1.111
# - calculated volume (Å³ per atom) = 21.6
data_AgHgSbF2
_cell_length_a 4.400
_cell_length_b 4.400
_cell_length_c 5.569
_cell_angle_alpha 90.00
_cell_angle_beta 90.00
_cell_angle_gamma 90.00
_space_group_name_H-M_alt 'P 4/m m m'
_space_group_IT_number 123
_space_group_name_Hall '-P 4 2'
loop_
_atom_site_label
_atom_site_type_symbol
_atom_site_fract_x
_atom_site_fract_y
_atom_site_fract_z
Ag1 Ag 0.000 0.000 0.000
Hg1 Hg 0.500 0.500 0.000
Sb1 Sb 0.000 0.000 0.500
F1 F 0.000 0.500 0.500

# SmAgHgF6 GGA-PBE optimized geometry
# - energy relative to the elements, uncorrected (eV/atom) = -2.466
# - calculated volume (Å³ per atom) = 18.2
data_SmAgHgF6
_cell_length_a 5.414
_cell_length_b 5.414
_cell_length_c 11.201
_cell_angle_alpha 90.00
_cell_angle_beta 90.00
_cell_angle_gamma 90.00
_space_group_name_H-M_alt 'P 42 n m'
_space_group_IT_number 102
_space_group_name_Hall 'P 4n -2n'
loop_
_atom_site_label
_atom_site_type_symbol
_atom_site_fract_x
_atom_site_fract_y
_atom_site_fract_z
Sm1 Sm 0.000 0.000 0.000
Ag1 Ag 0.000 0.000 0.334
Hg1 Hg 0.000 0.000 0.667
F1 F 0.184 0.184 0.840
F2 F 0.200 0.200 0.149
F3 F 0.206 0.206 0.510

# AgSnHgF6 GGA-PBE optimized geometry
# - energy relative to the elements, uncorrected (eV/atom) = -1.798
# - calculated volume (Å³ per atom) = 18.1
data_AgSnHgF6
_cell_length_a 6.092
_cell_length_b 10.595
_cell_length_c 5.046
_cell_angle_alpha 90.00
_cell_angle_beta 90.09
_cell_angle_gamma 90.00
_space_group_name_H-M_alt 'C 1 2 1'
_space_group_IT_number 5
_space_group_name_Hall 'C 2y'
loop_
_atom_site_label
_atom_site_type_symbol
_atom_site_fract_x
_atom_site_fract_y
_atom_site_fract_z
Ag1 Ag 0.000 0.000 0.000
Sn1 Sn 0.000 0.333 0.000
Hg1 Hg 0.000 0.666 0.500
F1 F 0.136 0.195 0.776
F2 F 0.138 0.470 0.777
F3 F 0.223 0.833 0.778

# Ag2SnHgF8 GGA-PBE optimized geometry
# - energy relative to the elements, uncorrected (eV/atom) = -1.751
# - calculated volume (Å³ per atom) = 17.5
data_Ag2SnHgF8
_cell_length_a 5.200
_cell_length_b 7.524
_cell_length_c 5.390
_cell_angle_alpha 90.00
_cell_angle_beta 93.44
_cell_angle_gamma 90.00
_space_group_name_H-M_alt 'P 1 2/m 1'
_space_group_IT_number 10
_space_group_name_Hall '-P 2y'
loop_
_atom_site_label
_atom_site_type_symbol
_atom_site_fract_x
_atom_site_fract_y
_atom_site_fract_z
Ag1 Ag 0.000 0.248 0.000
Sn1 Sn 0.500 0.000 0.500
Hg1 Hg 0.500 0.500 0.500
F1 F 0.207 0.500 0.220
F2 F 0.208 0.000 0.239
F3 F 0.329 0.197 0.685

# SrAg2HgF6 GGA-PBE optimized geometry
# - energy relative to the elements, uncorrected (eV/atom) = -1.956
# - calculated volume (Å³ per atom) = 17.3
data_SrAg2HgF6
_cell_length_a 6.131
_cell_length_b 6.276
_cell_length_c 10.765
_cell_angle_alpha 90.00
_cell_angle_beta 123.60
_cell_angle_gamma 90.00
_space_group_name_H-M_alt 'P 1 21/c 1'
_space_group_IT_number 14
_space_group_name_Hall '-P 2ybc'
loop_
_atom_site_label
_atom_site_type_symbol
_atom_site_fract_x
_atom_site_fract_y
_atom_site_fract_z
Sr1 Sr 0.000 0.000 0.000
Ag1 Ag 0.269 0.058 0.755
Hg1 Hg 0.500 0.000 0.500
F1 F 0.116 0.091 0.252
F2 F 0.269 0.682 0.079
F3 F 0.398 0.191 0.072

# TcAgHg2F6 GGA-PBE optimized geometry
# - energy relative to the elements, uncorrected (eV/atom) = -1.497
# - calculated volume (Å³ per atom) = 19.2
data_TcAgHg2F6
_cell_length_a 5.855
_cell_length_b 10.284
_cell_length_c 6.390
_cell_angle_alpha 90.00
_cell_angle_beta 90.00
_cell_angle_gamma 90.00
_space_group_name_H-M_alt 'P m m n'
_space_group_IT_number 59
loop_
_space_group_symop_operation_xyz
'x,y,z'
'-x,-y,-z'
'-x+1/2,-y+1/2,z'
'x+1/2,y+1/2,-z'
'x+1/2,-y,-z'
'-x+1/2,y,z'
'-x,y+1/2,-z'
'x,-y+1/2,z'
loop_
_atom_site_label
_atom_site_type_symbol
_atom_site_fract_x
_atom_site_fract_y
_atom_site_fract_z
Tc1 Tc 0.250 0.250 0.000
Ag1 Ag 0.250 0.750 0.500
Hg1 Hg 0.250 0.024 0.499
F1 F 0.023 0.250 0.224
F2 F 0.023 0.250 0.775
F3 F 0.250 0.064 0.000

# TiAgHgF6 GGA-PBE optimized geometry
# - energy relative to the elements, uncorrected (eV/atom) = -2.273
# - calculated volume (Å³ per atom) = 16.2
data_TiAgHgF6
_cell_length_a 6.1906
_cell_length_b 6.1906
_cell_length_c 8.7792
_cell_angle_alpha 90.00
_cell_angle_beta 90.00
_cell_angle_gamma 120.00
_space_group_name_H-M_alt 'P -3 1 c'
_space_group_IT_number 163
_space_group_name_Hall '-P 3 2c'
loop_
_atom_site_label
_atom_site_type_symbol
_atom_site_fract_x
_atom_site_fract_y
_atom_site_fract_z
Ti1 Ti 0.3333 0.6667 0.2500
Ag1 Ag 0.0000 0.0000 0.0000
Hg1 Hg 0.3333 0.6667 0.7500
F1 F 0.0887 0.4059 0.1269

Size of the total moment in μB per cell, matching the order above: 2.98, 0.00, 0.00, 2.00, 2.08, 0.00, 0.11, 0.00, 0.00, 0.00, 4.83, 1.22